Entry 1:
Th2Ga2Cu: optimized geometry, PBE.

Properties
The value obtained for the formation energy is -2.3 eV per formula unit. Its total energy is -54.61 eV for the cell shown. The calculated volume is 226.7 Å³ per cell. The density comes out at 9.77 g/cm³.

abc: 4.487 5.801 9.713
angles: 86.82 76.64 67.25
Positions (direct):
Th: 0.688 0.289 0.335
Th: 0.908 0.277 0.907
Th: 0.312 0.711 0.665
Th: 0.092 0.723 0.093
Ga: 0.075 0.282 0.568
Ga: 0.632 0.860 0.876
Ga: 0.925 0.718 0.432
Ga: 0.368 0.140 0.124
Cu: 0.615 0.118 0.653
Cu: 0.385 0.882 0.347


Entry 2:
Th3Ga9Cu2: optimized geometry, PBE.

Properties
The value obtained for the formation energy is -6.1 eV per formula unit. Its total energy is -63.80 eV for the cell shown. The calculated volume is 272.6 Å³ per cell. The density comes out at 8.84 g/cm³.

abc: 4.275 8.353 8.353
angles: 74.88 75.17 75.17
Positions (direct):
Th: 0.000 0.000 0.000
Th: 0.679 0.321 0.321
Th: 0.321 0.679 0.679
Ga: 0.000 0.500 0.500
Ga: 0.664 0.967 0.704
Ga: 0.336 0.033 0.296
Ga: 0.664 0.704 0.967
Ga: 0.336 0.296 0.033
Ga: 0.870 0.853 0.406
Ga: 0.130 0.147 0.594
Ga: 0.870 0.406 0.853
Ga: 0.130 0.594 0.147
Cu: 0.500 0.272 0.728
Cu: 0.500 0.728 0.272


Entry 3:
ThGa2Cu9: optimized geometry, PBE.

Properties
The value obtained for the formation energy is -1.9 eV per formula unit. Its total energy is -104.56 eV for the cell shown. The calculated volume is 343.7 Å³ per cell. The density comes out at 9.11 g/cm³.

abc: 6.646 7.922 7.922
angles: 79.87 65.20 65.20
Positions (direct):
Th: 0.500 0.000 0.000
Th: 0.250 0.500 0.500
Ga: 0.875 0.250 0.750
Ga: 0.875 0.750 0.250
Ga: 0.875 0.250 0.250
Ga: 0.375 0.750 0.750
Cu: 0.750 0.500 0.500
Cu: 0.000 0.000 0.000
Cu: 0.014 0.914 0.669
Cu: 0.597 0.086 0.331
Cu: 0.678 0.169 0.586
Cu: 0.433 0.831 0.414
Cu: 0.736 0.831 0.586
Cu: 0.153 0.169 0.414
Cu: 0.072 0.914 0.331
Cu: 0.317 0.086 0.669
Cu: 0.736 0.586 0.831
Cu: 0.153 0.414 0.169
Cu: 0.072 0.331 0.914
Cu: 0.317 0.669 0.086
Cu: 0.014 0.669 0.914
Cu: 0.597 0.331 0.086
Cu: 0.678 0.586 0.169
Cu: 0.433 0.414 0.831


Entry 4:
Th2GaCu3: optimized geometry, PBE.

Properties
The value obtained for the formation energy is -1.5 eV per formula unit. Its total energy is -31.69 eV for the cell shown. The energy above the most stable polymorph in this dataset is 38 meV per atom. The calculated volume is 123.6 Å³ per cell. The density comes out at 9.73 g/cm³.

abc: 3.737 4.260 8.265
angles: 104.93 103.06 90.00
Positions (direct):
Th: 0.127 0.127 0.254
Th: 0.873 0.373 0.745
Ga: 0.461 0.961 0.923
Cu: 0.701 0.701 0.401
Cu: 0.541 0.541 0.081
Cu: 0.298 0.798 0.595